A plane-wave DFT calculation with PBE was carried out for an optimized crystal structure of LiPm2AgHg4.

a b c (Å): 8.8446 8.8446 8.8446
angles (deg): 33.51 33.51 33.51
Positions (direct):
Li 0.0000 0.0000 0.0000
Pm 0.2474 0.2474 0.2474
Pm 0.7526 0.7526 0.7526
Ag 0.5000 0.5000 0.5000
Hg 0.1223 0.1223 0.1223
Hg 0.3718 0.3718 0.3718
Hg 0.6282 0.6282 0.6282
Hg 0.8777 0.8777 0.8777

Theoretical density: 10.67 g cm⁻³
Calculated total energy: -18.752 eV per formula unit
Calculated formation energy: -0.41 eV/atom